# 1
Sm5Ho7: relaxed, PBE.

Output
- Total energy: -4.6329 eV per atom
- Polymorph energy (0 for the lowest one): 0 meV per atom

Structure (POSCAR):
```
Sm5Ho7
1.0
9.290 -1.791 0.000
9.290 1.791 0.000
-6.192 0.000 11.558
Sm Ho
5 7
Direct
0.000 0.000 0.000
0.166 0.166 0.499
0.305 0.305 0.249
0.695 0.695 0.751
0.834 0.834 0.501
0.028 0.028 0.750
0.334 0.334 0.002
0.362 0.362 0.751
0.500 0.500 0.500
0.638 0.638 0.249
0.666 0.666 0.998
0.972 0.972 0.250
```



# 2
SmHo2: relaxed, PBE.

Output
- Total energy: -4.4237 eV per atom
- Polymorph energy (0 for the lowest one): 207 meV per atom

Structure (POSCAR):
```
SmHo2
1.0
3.428 0.000 0.000
0.000 5.836 0.000
0.000 0.000 9.879
Sm Ho
2 4
Direct
0.000 0.000 0.000
0.500 0.500 0.500
0.000 0.500 0.188
0.000 0.500 0.812
0.500 0.000 0.312
0.500 0.000 0.688
```



# 3
Sm6Ho5: relaxed, PBE.

Output
- Total energy: -4.5287 eV per atom

Structure (POSCAR):
```
Sm6Ho5
1.0
5.104 -6.659 0.000
5.104 6.659 0.000
-2.750 0.000 5.383
Sm Ho
6 5
Direct
0.047 0.323 0.607
0.183 0.183 0.089
0.323 0.047 0.607
0.677 0.953 0.393
0.817 0.817 0.911
0.953 0.677 0.393
0.233 0.767 0.000
0.369 0.631 0.500
0.500 0.500 0.000
0.631 0.369 0.500
0.767 0.233 0.000
```



| no. | ΔE_f (eV per formula unit) |
| --- | --- |
| 1 | 0.05 |
| 2 | 0.60 |
| 3 | 1.39 |